A relaxed MoPt3 crystal. Source: Alexandria via LeMat-Bulk, functional PBE.

abc: 4.8369 9.1455 5.6498
angles: 90.00 90.00 90.00
Atoms (fractional coordinates):
Mo 0.0827 0.7500 0.6191
Mo 0.4173 0.2500 0.1191
Pt 0.7399 0.4949 0.1264
Pt 0.7601 0.5051 0.6264
Pt 0.9132 0.2500 0.8797
Mo 0.5827 0.7500 0.8809
Mo 0.9173 0.2500 0.3809
Pt 0.0868 0.7500 0.1203
Pt 0.2399 0.0051 0.3736
Pt 0.5868 0.7500 0.3797
Pt 0.2601 0.5051 0.8736
Pt 0.7399 0.0051 0.1264
Pt 0.7601 0.9949 0.6264
Pt 0.2399 0.4949 0.3736
Pt 0.4132 0.2500 0.6203
Pt 0.2601 0.9949 0.8736

## Properties
- space group = Pnma, No. 62
- formation energy (kJ per mole of atoms) = -16